# SiNiIr PBE-GGA relaxed
data_SiNiIr
_space_group_name_H-M_alt 'F -4 3 m'
_space_group_IT_number 216
_space_group_name_Hall 'F -4 2 3'
_cell_length_a 5.6574
_cell_length_b 5.6574
_cell_length_c 5.6574
_cell_angle_alpha 90.00
_cell_angle_beta 90.00
_cell_angle_gamma 90.00
loop_
_atom_site_label
_atom_site_type_symbol
_atom_site_fract_x
_atom_site_fract_y
_atom_site_fract_z
Si1 Si 0.0000 0.0000 0.0000
Ni1 Ni 0.0000 0.0000 0.5000
Ir1 Ir 0.2500 0.2500 0.2500
# Total DFT energy (no corrections) ... -82.857 eV/cell
# Formation energy (no corrections) ... -0.22 eV/atom
# Crystal system ... cubic